[1]
Computed, not measured: a geometry-optimized LiCa4Pb2 structure at the GGA-PBE level of DFT.

Lattice parameters (Å, degrees): 8.9206 8.9206 8.9206 143.56 143.56 52.49
Closest atoms and distances in Å follow each position.
Element x y z (fractional)
1 Li 0.0000 0.0000 0.0000  6 Ca 2.79-3.02
2 Ca 0.0000 0.5000 0.5000  2 Li 2.79
3 Ca 0.1885 0.1885 0.0000  1 Li 3.02, 1 Pb 3.18
4 Ca 0.5000 0.0000 0.5000  2 Li 2.79
5 Ca 0.8115 0.8115 0.0000  1 Li 3.02, 1 Pb 3.18
6 Pb 0.3873 0.3873 0.0000  5 Ca 3.18-3.32
7 Pb 0.6127 0.6127 0.0000  5 Ca 3.18-3.32

Results
Uncorrected energy in eV/atom: -2.535
Energy of formation in eV per atom: -0.0585
Space group: I4/mmm, No. 139
Energy relative to the lowest polymorph listed for this composition in eV per atom: 0.395

[2]
Computed, not measured: a geometry-optimized Li2CaPb9 structure at the GGA-PBE level of DFT.

Lattice parameters (Å, degrees): 4.9140 4.9140 14.4595 90.00 90.00 90.00
Closest atoms and distances in Å follow each position.
Element x y z (fractional)
1 Li 0.0000 0.0000 0.1678  12 Pb 3.36-3.48
2 Li 0.0000 0.0000 0.8322  12 Pb 3.36-3.48
3 Ca 0.0000 0.0000 0.5000  12 Pb 3.47-3.51
4 Pb 0.0000 0.5000 0.0000  8 Pb 3.41-3.47, 4 Li 3.45
5 Pb 0.0000 0.5000 0.3262  2 Li 3.36, 8 Pb 3.41-3.51, 2 Ca 3.51
6 Pb 0.0000 0.5000 0.6738  2 Li 3.36, 8 Pb 3.41-3.51, 2 Ca 3.51
7 Pb 0.5000 0.0000 0.0000  8 Pb 3.41-3.47, 4 Li 3.45
8 Pb 0.5000 0.0000 0.3262  2 Li 3.36, 8 Pb 3.41-3.51, 2 Ca 3.51
9 Pb 0.5000 0.0000 0.6738  2 Li 3.36, 8 Pb 3.41-3.51, 2 Ca 3.51
10 Pb 0.5000 0.5000 0.1631  8 Pb 3.41, 4 Li 3.48
11 Pb 0.5000 0.5000 0.5000  4 Ca 3.47, 8 Pb 3.51
12 Pb 0.5000 0.5000 0.8369  8 Pb 3.41, 4 Li 3.48

Results
Uncorrected energy in eV/atom: -3.447
Energy of formation in eV per atom: -0.1795
Space group: P4/mmm, No. 123

[3]
Computed, not measured: a geometry-optimized Li2Ca2Pb structure at the GGA-PBE level of DFT.

Lattice parameters (Å, degrees): 10.4191 10.4191 10.4191 158.88 158.88 30.05
Closest atoms and distances in Å follow each position.
Element x y z (fractional)
1 Li 0.2500 0.7500 0.5000  4 Li 2.70
2 Li 0.7500 0.2500 0.5000  4 Li 2.70
3 Ca 0.1009 0.1009 0.0000  4 Pb 3.38, 4 Li 3.56
4 Ca 0.8991 0.8991 0.0000  4 Pb 3.38, 4 Li 3.56
5 Pb 0.5000 0.5000 0.0000  8 Ca 3.38

Results
Uncorrected energy in eV/atom: -2.458
Energy of formation in eV per atom: -0.1500
Space group: I4/mmm, No. 139
Energy relative to the lowest polymorph listed for this composition in eV per atom: 0.098

[4]
Computed, not measured: a geometry-optimized Li2CaPb8 structure at the GGA-PBE level of DFT.

Lattice parameters (Å, degrees): 8.9138 8.9138 8.0140 109.08 109.08 31.62
Closest atoms and distances in Å follow each position.
Element x y z (fractional)
1 Li 0.2289 0.2289 0.1468  10 Pb 3.16-3.52
2 Li 0.7711 0.7711 0.8532  10 Pb 3.16-3.52
3 Ca 0.5000 0.5000 0.5000  12 Pb 3.42-3.57
4 Pb 0.0428 0.0428 0.2235  9 Pb 3.38-3.75, 1 Li 3.45, 2 Ca 3.53
5 Pb 0.1483 0.1483 0.7178  3 Li 3.16-3.24, 4 Pb 3.39-3.47, 2 Ca 3.52
6 Pb 0.3169 0.3169 0.5817  8 Pb 3.29-3.60, 3 Li 3.29-3.52, 1 Ca 3.42
7 Pb 0.3946 0.3946 0.0316  3 Li 3.22-3.27, 7 Pb 3.39-3.57, 1 Ca 3.57
8 Pb 0.6054 0.6054 0.9684  3 Li 3.22-3.27, 7 Pb 3.39-3.57, 1 Ca 3.57
9 Pb 0.6831 0.6831 0.4183  8 Pb 3.29-3.60, 3 Li 3.29-3.52, 1 Ca 3.42
10 Pb 0.8517 0.8517 0.2822  3 Li 3.16-3.24, 4 Pb 3.39-3.47, 2 Ca 3.52
11 Pb 0.9572 0.9572 0.7765  9 Pb 3.38-3.75, 1 Li 3.45, 2 Ca 3.53

Results
Uncorrected energy in eV/atom: -3.397
Energy of formation in eV per atom: -0.1697
Space group: C2/m, No. 12

[5]
Computed, not measured: a geometry-optimized LiCa2Pb structure at the GGA-PBE level of DFT.

Lattice parameters (Å, degrees): 6.0025 6.0025 6.0025 131.94 131.94 70.32
Closest atoms and distances in Å follow each position.
Element x y z (fractional)
1 Li 0.0000 0.0000 0.0000  8 Ca 3.46, 4 Pb 3.46
2 Ca 0.5000 0.5000 0.0000  4 Li 3.46, 4 Pb 3.46, 4 Ca 3.46
3 Ca 0.7500 0.2500 0.5000  4 Pb 3.46, 4 Li 3.46, 4 Ca 3.46
4 Pb 0.2500 0.7500 0.5000  8 Ca 3.46, 4 Li 3.46

Results
Uncorrected energy in eV/atom: -2.658
Energy of formation in eV per atom: -0.2515
Space group: I-4m2, No. 119

[6]
Computed, not measured: a geometry-optimized LiCa3Pb3 structure at the GGA-PBE level of DFT.

Lattice parameters (Å, degrees): 6.3303 6.3303 15.7120 107.73 107.73 44.59
Closest atoms and distances in Å follow each position.
Element x y z (fractional)
1 Li 0.2381 0.2381 0.4026  4 Pb 2.78-2.99
2 Li 0.7619 0.7619 0.5974  4 Pb 2.78-2.99
3 Ca 0.2636 0.2636 0.7730  6 Pb 3.28-3.48, 2 Li 3.65
4 Ca 0.4076 0.4076 0.0828  7 Pb 3.29-3.52
5 Ca 0.4660 0.4660 0.6123  7 Pb 3.32-3.67, 4 Li 3.34-3.55
6 Ca 0.5340 0.5340 0.3877  7 Pb 3.32-3.67, 4 Li 3.34-3.55
7 Ca 0.5924 0.5924 0.9172  7 Pb 3.29-3.52
8 Ca 0.7364 0.7364 0.2270  6 Pb 3.28-3.48, 2 Li 3.65
9 Pb 0.0283 0.0283 0.2401  1 Li 2.90, 1 Pb 3.15
10 Pb 0.1236 0.1236 0.0748  2 Pb 3.07-3.15, 5 Ca 3.29-3.38
11 Pb 0.1358 0.1358 0.5536  3 Li 2.78-2.99, 1 Pb 3.07
12 Pb 0.8642 0.8642 0.4464  3 Li 2.78-2.99, 1 Pb 3.07
13 Pb 0.8764 0.8764 0.9252  2 Pb 3.07-3.15, 5 Ca 3.29-3.38
14 Pb 0.9717 0.9717 0.7599  1 Li 2.90, 1 Pb 3.15

Results
Uncorrected energy in eV/atom: -3.208
Energy of formation in eV per atom: -0.4877
Space group: C2/m, No. 12

[7]
Computed, not measured: a geometry-optimized LiCa2Pb structure at the GGA-PBE level of DFT.

Lattice parameters (Å, degrees): 3.8500 3.8500 8.3450 90.00 90.00 90.09
Closest atoms and distances in Å follow each position.
Element x y z (fractional)
1 Li 0.0000 0.0000 0.0000  4 Pb 3.02
2 Ca 0.0000 0.0000 0.5916  1 Li 3.41, 4 Pb 3.44
3 Ca 0.5000 0.5000 0.2521  1 Pb 3.41, 4 Li 3.44
4 Pb 0.5000 0.5000 0.8438  4 Li 3.02

Results
Uncorrected energy in eV/atom: -2.651
Energy of formation in eV per atom: -0.2444
Space group: Cmm2, No. 35

[8]
Computed, not measured: a geometry-optimized LiCa4Pb15 structure at the GGA-PBE level of DFT.

Lattice parameters (Å, degrees): 4.9933 4.9933 23.9807 90.00 90.00 90.00
Closest atoms and distances in Å follow each position.
Element x y z (fractional)
1 Li 0.0000 0.0000 0.0000  12 Pb 3.38-3.53
2 Ca 0.0000 0.0000 0.1997  12 Pb 3.45-3.54
3 Ca 0.0000 0.0000 0.3995  12 Pb 3.47-3.53
4 Ca 0.0000 0.0000 0.6005  12 Pb 3.47-3.53
5 Ca 0.0000 0.0000 0.8003  12 Pb 3.45-3.54
6 Pb 0.0000 0.5000 0.0950  8 Pb 3.38-3.53, 2 Li 3.38, 2 Ca 3.54
7 Pb 0.0000 0.5000 0.2990  4 Ca 3.45-3.47, 8 Pb 3.47-3.53
8 Pb 0.0000 0.5000 0.5000  4 Ca 3.47, 8 Pb 3.47-3.53
9 Pb 0.0000 0.5000 0.7010  4 Ca 3.45-3.47, 8 Pb 3.47-3.53
10 Pb 0.0000 0.5000 0.9050  8 Pb 3.38-3.53, 2 Li 3.38, 2 Ca 3.54
11 Pb 0.5000 0.0000 0.0950  8 Pb 3.38-3.53, 2 Li 3.38, 2 Ca 3.54
12 Pb 0.5000 0.0000 0.2990  4 Ca 3.45-3.47, 8 Pb 3.47-3.53
13 Pb 0.5000 0.0000 0.5000  4 Ca 3.47, 8 Pb 3.47-3.53
14 Pb 0.5000 0.0000 0.7010  4 Ca 3.45-3.47, 8 Pb 3.47-3.53
15 Pb 0.5000 0.0000 0.9050  8 Pb 3.38-3.53, 2 Li 3.38, 2 Ca 3.54
16 Pb 0.5000 0.5000 0.0000  8 Pb 3.38, 4 Li 3.53
17 Pb 0.5000 0.5000 0.1974  8 Pb 3.49-3.50, 4 Ca 3.53
18 Pb 0.5000 0.5000 0.3995  8 Pb 3.47, 4 Ca 3.53
19 Pb 0.5000 0.5000 0.6005  8 Pb 3.47, 4 Ca 3.53
20 Pb 0.5000 0.5000 0.8026  8 Pb 3.49-3.50, 4 Ca 3.53

Results
Uncorrected energy in eV/atom: -3.543
Energy of formation in eV per atom: -0.2659
Space group: P4/mmm, No. 123

[9]
Computed, not measured: a geometry-optimized LiCaPb2 structure at the GGA-PBE level of DFT.

Lattice parameters (Å, degrees): 4.8671 4.8671 4.5410 90.00 90.00 90.00
Closest atoms and distances in Å follow each position.
Element x y z (fractional)
1 Li 0.0000 0.0000 0.0000  8 Pb 3.33, 4 Ca 3.44
2 Ca 0.5000 0.5000 0.0000  8 Pb 3.33, 4 Li 3.44
3 Pb 0.0000 0.5000 0.5000  4 Li 3.33, 4 Ca 3.33, 4 Pb 3.44
4 Pb 0.5000 0.0000 0.5000  4 Li 3.33, 4 Ca 3.33, 4 Pb 3.44

Results
Uncorrected energy in eV/atom: -3.211
Energy of formation in eV per atom: -0.3780
Space group: P4/mmm, No. 123

[10]
Computed, not measured: a geometry-optimized Li5Ca6Pb structure at the GGA-PBE level of DFT.

Lattice parameters (Å, degrees): 5.5037 7.9612 8.7409 90.00 108.06 90.00
Closest atoms and distances in Å follow each position.
Element x y z (fractional)
1 Li 0.0000 0.0000 0.0000  8 Ca 3.40-3.41
2 Li 0.3337 0.0000 0.6667  8 Ca 3.41-3.44
3 Li 0.3336 0.5000 0.6672  8 Ca 3.38-3.42
4 Li 0.6663 0.0000 0.3333  8 Ca 3.41-3.44
5 Li 0.6664 0.5000 0.3328  8 Ca 3.38-3.42
6 Ca 0.1650 0.2526 0.3303  1 Pb 3.38, 7 Li 3.38-3.44
7 Ca 0.1650 0.7474 0.3303  1 Pb 3.38, 7 Li 3.38-3.44
8 Ca 0.5000 0.2530 0.0000  2 Pb 3.38, 6 Li 3.39-3.42
9 Ca 0.5000 0.7470 0.0000  2 Pb 3.38, 6 Li 3.39-3.42
10 Ca 0.8350 0.2526 0.6697  1 Pb 3.38, 7 Li 3.38-3.44
11 Ca 0.8350 0.7474 0.6697  1 Pb 3.38, 7 Li 3.38-3.44
12 Pb 0.0000 0.5000 0.0000  8 Ca 3.38

Results
Uncorrected energy in eV/atom: -2.222
Energy of formation in eV per atom: -0.1152
Space group: P2/m, No. 10

[11]
Computed, not measured: a geometry-optimized LiCaPb2 structure at the GGA-PBE level of DFT.

Lattice parameters (Å, degrees): 5.3656 5.3656 3.7870 90.00 90.00 90.30
Closest atoms and distances in Å follow each position.
Element x y z (fractional)
1 Li 0.0000 0.0000 0.0000  8 Pb 3.28
2 Ca 0.5000 0.5000 0.0000  8 Pb 3.28
3 Pb 0.0000 0.5000 0.5000  4 Ca 3.28, 4 Li 3.28
4 Pb 0.5000 0.0000 0.5000  4 Ca 3.28, 4 Li 3.28

Results
Uncorrected energy in eV/atom: -3.204
Energy of formation in eV per atom: -0.3709
Space group: Cmmm, No. 65

[12]
Computed, not measured: a geometry-optimized LiCa2Pb structure at the GGA-PBE level of DFT.

Lattice parameters (Å, degrees): 5.4525 5.4525 6.8079 98.22 98.22 40.12
Closest atoms and distances in Å follow each position.
Element x y z (fractional)
1 Li 0.0000 0.0000 0.0000  6 Ca 3.26-3.50
2 Ca 0.2416 0.2416 0.7377  3 Li 3.26-3.50, 3 Pb 3.31-3.32
3 Ca 0.7584 0.7584 0.2623  3 Li 3.26-3.50, 3 Pb 3.31-3.32
4 Pb 0.5000 0.5000 0.5000  6 Ca 3.31-3.32

Results
Uncorrected energy in eV/atom: -2.587
Energy of formation in eV per atom: -0.1811
Space group: C2/m, No. 12

The highest energy of formation belongs to which entry?
LiCa4Pb2

Number 2 is which compound?
Li2CaPb9